First-principles (GGA+U) data for crystalline Li2PuCrO8 at its relaxed geometry, as listed in Alexandria.

a b c (Å): 4.277 4.277 9.596
angles (deg): 90.00 90.00 120.00
Fractional positions:
1 Li 0.333 0.667 0.263
2 Li 0.667 0.333 0.737
3 Pu 0.000 0.000 0.000
4 Cr 0.000 0.000 0.500
5 O 0.015 0.671 0.869
6 O 0.329 0.344 0.869
7 O 0.333 0.667 0.461
8 O 0.344 0.015 0.131
9 O 0.656 0.985 0.869
10 O 0.667 0.333 0.539
11 O 0.671 0.656 0.131
12 O 0.985 0.329 0.131

Values from the calculation:
Fermi-level density of states   0.739 states/eV/atom
Size of the total moment   2.987 Bohr magnetons per cell
Energy   -76.4 eV for the cell shown